[1]
# CdOsRh2

Crystalline CdOsRh2 at its relaxed geometry (GGA-PBE, Alexandria).

Structure (extended XYZ):
```
8
Lattice="9.087 0.000 0.000 0.000 2.753 0.000 -0.733 0.000 4.958" Properties=species:S:1:pos:R:3 pbc="T T T"
Cd 0.000 0.000 0.000
Cd 4.544 1.376 0.000
Os -0.367 1.376 2.479
Os 4.177 0.000 2.479
Rh 1.681 0.000 3.610
Rh 2.129 1.376 1.348
Rh 6.225 1.376 3.610
Rh 6.673 0.000 1.348
```

Values from the calculation:
Calculated total energy, eV per atom: -6.462
Symmetry: C2/m, No. 12

---

[2]
# Cd2OsRh

Crystalline Cd2OsRh at its relaxed geometry (GGA-PBE, Alexandria).

Structure (extended XYZ):
```
8
Lattice="4.040 0.000 0.000 0.000 4.040 0.000 0.000 0.000 8.367" Properties=species:S:1:pos:R:3 pbc="T T T"
Cd 0.000 2.020 2.092
Cd 0.000 2.020 6.275
Cd 2.020 0.000 2.092
Cd 2.020 0.000 6.275
Os 0.000 0.000 0.000
Os 2.020 2.020 4.183
Rh 0.000 0.000 4.183
Rh 2.020 2.020 0.000
```

Values from the calculation:
Relative energy among the computed polymorphs, meV/atom: 366
Calculated total energy, eV per atom: -4.583
Symmetry: I4/mmm, No. 139

---

[3]
# Cd2OsRh

Crystalline Cd2OsRh at its relaxed geometry (GGA-PBE, Alexandria).

Structure (extended XYZ):
```
16
Lattice="6.497 0.000 0.000 0.000 6.497 0.000 0.000 0.000 6.497" Properties=species:S:1:pos:R:3 pbc="T T T"
Cd 0.000 0.000 0.000
Cd 0.000 3.249 3.249
Cd 1.624 1.624 1.624
Cd 1.624 4.873 4.873
Cd 3.249 0.000 3.249
Cd 3.249 3.249 0.000
Cd 4.873 1.624 4.873
Cd 4.873 4.873 1.624
Os 0.000 0.000 3.249
Os 0.000 3.249 0.000
Os 3.249 0.000 0.000
Os 3.249 3.249 3.249
Rh 1.624 1.624 4.873
Rh 1.624 4.873 1.624
Rh 4.873 1.624 1.624
Rh 4.873 4.873 4.873
```

Values from the calculation:
Relative energy among the computed polymorphs, meV/atom: 359
Calculated total energy, eV per atom: -4.590
Symmetry: F-43m, No. 216

---

[4]
# Cd2OsRh

Crystalline Cd2OsRh at its relaxed geometry (GGA-PBE, Alexandria).

Structure (extended XYZ):
```
4
Lattice="2.842 0.000 0.000 0.000 2.842 0.000 0.000 0.000 8.397" Properties=species:S:1:pos:R:3 pbc="T T T"
Cd 0.000 0.000 2.037
Cd 0.000 0.000 6.359
Os 1.421 1.421 4.198
Rh 1.421 1.421 0.000
```

Values from the calculation:
Relative energy among the computed polymorphs, meV/atom: 300
Calculated total energy, eV per atom: -4.649
Symmetry: P4/mmm, No. 123